[1]
DFT (GGA-PBE) results for crystalline Mn2CrPd4 at its relaxed geometry.

Output
The total DFT energy (no corrections) is -6.2328 eV/atom. As for the energy of formation: 16.82 kcal/mol of atoms. For the density of states at the Fermi level, the calculation gives 8.416 states/eV per cell.

Geometry as POSCAR:
```
Mn2CrPd4
1.0
-3.808 0.636 2.523
2.037 -2.053 3.593
1.375 4.990 5.033
Cr Mn Pd
1 2 4
Direct
0.000 0.000 0.000
0.615 0.615 0.770
0.385 0.385 0.230
0.809 0.809 0.382
0.191 0.191 0.618
0.000 0.500 0.000
0.500 0.000 0.000
```

***

[2]
DFT (GGA-PBE) results for crystalline Sm2Y3Tl4 at its relaxed geometry.

Output
The total DFT energy (no corrections) is -4.5757 eV/atom. As for the energy of formation: -7.39 kcal/mol of atoms. For the density of states at the Fermi level, the calculation gives 7.976 states/eV per cell.

Geometry as POSCAR:
```
Sm2Y3Tl4
1.0
-5.149 0.075 -1.297
-2.180 -4.168 -2.459
-2.445 -4.288 9.460
Sm Y Tl
2 3 4
Direct
0.333 0.334 0.778
0.667 0.666 0.222
0.333 0.333 0.425
0.000 0.000 0.000
0.667 0.667 0.575
0.666 0.667 0.896
0.000 0.000 0.348
0.000 0.000 0.652
0.334 0.333 0.104
```

***

[3]
DFT (GGA-PBE) results for crystalline AcInHg2 at its relaxed geometry.

Output
The total DFT energy (no corrections) is -2.3031 eV/atom. As for the energy of formation: -10.16 kcal/mol of atoms. For the density of states at the Fermi level, the calculation gives 1.329 states/eV per cell.

Geometry as POSCAR:
```
AcInHg2
1.0
5.431 0.000 0.000
2.716 4.703 0.000
2.716 1.568 4.434
Ac Hg In
1 2 1
Direct
0.000 0.000 0.000
0.750 0.750 0.750
0.250 0.250 0.250
0.500 0.500 0.500
```